VASP calculation (GGA-PBEsol) on a relaxed LaSc2 crystal. Values from VASP.

Properties
The energy of formation from the pure elements comes out at 0.092 eV/atom. For the energy above the most stable polymorph in this dataset, the calculation gives 35 meV per atom. For the total energy, the calculation gives -36.56 eV/cell. The crystal system is hexagonal. The space-group type is No. 189. The magnetic moment comes out at 0.0 μB per formula unit. The density of states at the Fermi level comes out at 5.60 states/eV/f.u.

Geometry as Quantum ESPRESSO input:
```
&SYSTEM
  ibrav = 0, nat = 6, ntyp = 2
/
ATOMIC_SPECIES
La 138.91 La.upf
Sc 44.96 Sc.upf
CELL_PARAMETERS angstrom
5.883 0.000 0.000
-2.942 5.095 0.000
0.000 0.000 5.376
ATOMIC_POSITIONS crystal
La 0.333 0.667 0.000
La 0.667 0.333 0.000
Sc 0.000 0.000 0.000
Sc 0.000 0.326 0.500
Sc 0.326 0.000 0.500
Sc 0.674 0.674 0.500
```